Density functional theory data (PBE-GGA) for a relaxed structure of NdInHgIr.

Output
Fermi-level density of states, states/eV/cell: 10.82
ΔH_f (0 K), kJ per mole of atoms: -24.7
Density, g cm⁻³: 12.14

Lattice parameters (Å, degrees): 7.092 7.092 7.092 90.00 90.00 90.00
Fractional coordinates of all 16 atoms:
Nd 0.000 0.000 0.000
Nd 0.000 0.500 0.500
Nd 0.500 0.000 0.500
Nd 0.500 0.500 0.000
In 0.000 0.000 0.500
In 0.000 0.500 0.000
In 0.500 0.000 0.000
In 0.500 0.500 0.500
Hg 0.250 0.250 0.250
Hg 0.250 0.750 0.750
Hg 0.750 0.250 0.750
Hg 0.750 0.750 0.250
Ir 0.250 0.250 0.750
Ir 0.250 0.750 0.250
Ir 0.750 0.250 0.250
Ir 0.750 0.750 0.750

---

Density functional theory data (PBE-GGA) for a relaxed structure of InHgIrO6.

Output
Energy, eV per atom: -5.27
Fermi-level density of states, states/eV/cell: 12.01
Density, g cm⁻³: 8.22

Lattice parameters (Å, degrees): 5.516 5.516 9.257 90.00 90.00 120.00
Fractional coordinates of all 18 atoms:
In 0.333 0.667 0.250
In 0.667 0.333 0.750
Hg 0.000 0.000 0.000
Hg 0.000 0.000 0.500
Ir 0.333 0.667 0.750
Ir 0.667 0.333 0.250
O 0.034 0.390 0.633
O 0.034 0.644 0.867
O 0.356 0.390 0.867
O 0.356 0.966 0.633
O 0.390 0.034 0.133
O 0.390 0.356 0.367
O 0.610 0.644 0.633
O 0.610 0.966 0.867
O 0.644 0.034 0.367
O 0.644 0.610 0.133
O 0.966 0.356 0.133
O 0.966 0.610 0.367

---

Density functional theory data (PBE-GGA) for a relaxed structure of In2HgIrPb.

Output
Fermi-level density of states, states/eV/cell: 2.70
ΔH_f (0 K), kJ per mole of atoms: 0.7
Density, g cm⁻³: 9.56

Lattice parameters (Å, degrees): 5.230 5.230 5.269 90.00 90.00 90.00
Fractional coordinates of all 5 atoms:
In 0.000 0.500 0.000
In 0.500 0.000 0.000
Hg 0.000 0.000 0.500
Ir 0.500 0.500 0.000
Pb 0.500 0.500 0.500

---

Density functional theory data (PBE-GGA) for a relaxed structure of InHgIrPb2.

Output
Fermi-level density of states, states/eV/cell: 4.36
ΔH_f (0 K), kJ per mole of atoms: 13.9
Density, g cm⁻³: 10.29

Lattice parameters (Å, degrees): 5.339 5.339 5.220 90.00 90.00 90.00
Fractional coordinates of all 5 atoms:
In 0.000 0.000 0.000
Hg 0.500 0.500 0.000
Ir 0.000 0.000 0.500
Pb 0.000 0.500 0.500
Pb 0.500 0.000 0.500

---

Density functional theory data (PBE-GGA) for a relaxed structure of PmInHgIr.

Output
Fermi-level density of states, states/eV/cell: 10.51
ΔH_f (0 K), kJ per mole of atoms: -26.4
Density, g cm⁻³: 12.32

Lattice parameters (Å, degrees): 7.060 7.060 7.060 90.00 90.00 90.00
Fractional coordinates of all 16 atoms:
Pm 0.000 0.000 0.000
Pm 0.000 0.500 0.500
Pm 0.500 0.000 0.500
Pm 0.500 0.500 0.000
In 0.000 0.000 0.500
In 0.000 0.500 0.000
In 0.500 0.000 0.000
In 0.500 0.500 0.500
Hg 0.250 0.250 0.250
Hg 0.250 0.750 0.750
Hg 0.750 0.250 0.750
Hg 0.750 0.750 0.250
Ir 0.250 0.250 0.750
Ir 0.250 0.750 0.250
Ir 0.750 0.250 0.250
Ir 0.750 0.750 0.750

---

Density functional theory data (PBE-GGA) for a relaxed structure of RbIn2HgIr.

Output
Fermi-level density of states, states/eV/cell: 1.31
ΔH_f (0 K), kJ per mole of atoms: -16.7
Density, g cm⁻³: 7.89

Lattice parameters (Å, degrees): 5.213 5.213 5.479 90.00 90.00 90.00
Fractional coordinates of all 5 atoms:
Rb 0.000 0.000 0.000
In 0.000 0.500 0.500
In 0.500 0.000 0.500
Hg 0.500 0.500 0.000
Ir 0.500 0.500 0.500

---

Density functional theory data (PBE-GGA) for a relaxed structure of Sc5In2HgIr2.

Output
Fermi-level density of states, states/eV/cell: 13.85
ΔH_f (0 K), kJ per mole of atoms: -56.8
Density, g cm⁻³: 7.91

Lattice parameters (Å, degrees): 11.313 11.313 3.411 90.00 90.00 90.00
Fractional coordinates of all 20 atoms:
Sc 0.000 0.500 0.000
Sc 0.076 0.204 0.000
Sc 0.204 0.924 0.000
Sc 0.296 0.424 0.000
Sc 0.424 0.704 0.000
Sc 0.500 0.000 0.000
Sc 0.576 0.296 0.000
Sc 0.704 0.576 0.000
Sc 0.796 0.076 0.000
Sc 0.924 0.796 0.000
In 0.172 0.672 0.500
In 0.328 0.172 0.500
In 0.672 0.828 0.500
In 0.828 0.328 0.500
Hg 0.000 0.000 0.500
Hg 0.500 0.500 0.500
Ir 0.132 0.368 0.500
Ir 0.368 0.868 0.500
Ir 0.632 0.132 0.500
Ir 0.868 0.632 0.500

---

Density functional theory data (PBE-GGA) for a relaxed structure of InSiHgIr2.

Output
Energy, eV per atom: -4.61
Fermi-level density of states, states/eV/cell: 1.76
Density, g cm⁻³: 11.65

Lattice parameters (Å, degrees): 4.500 4.500 5.125 90.00 90.00 90.00
Fractional coordinates of all 5 atoms:
In 0.000 0.000 0.000
Si 0.000 0.000 0.500
Hg 0.500 0.500 0.000
Ir 0.000 0.500 0.500
Ir 0.500 0.000 0.500

---

Density functional theory data (PBE-GGA) for a relaxed structure of SmInHgIr.

Output
Fermi-level density of states, states/eV/cell: 10.15
ΔH_f (0 K), kJ per mole of atoms: -27.2
Density, g cm⁻³: 12.54

Lattice parameters (Å, degrees): 7.038 7.038 7.038 90.00 90.00 90.00
Fractional coordinates of all 16 atoms:
Sm 0.000 0.000 0.000
Sm 0.000 0.500 0.500
Sm 0.500 0.000 0.500
Sm 0.500 0.500 0.000
In 0.000 0.000 0.500
In 0.000 0.500 0.000
In 0.500 0.000 0.000
In 0.500 0.500 0.500
Hg 0.250 0.250 0.750
Hg 0.250 0.750 0.250
Hg 0.750 0.250 0.250
Hg 0.750 0.750 0.750
Ir 0.250 0.250 0.250
Ir 0.250 0.750 0.750
Ir 0.750 0.250 0.750
Ir 0.750 0.750 0.250

---

Density functional theory data (PBE-GGA) for a relaxed structure of Sr2InHgIr.

Output
Fermi-level density of states, states/eV/cell: 2.71
ΔH_f (0 K), kJ per mole of atoms: -27.4
Density, g cm⁻³: 6.52

Lattice parameters (Å, degrees): 5.805 5.805 5.158 90.00 90.00 90.00
Fractional coordinates of all 5 atoms:
Sr 0.000 0.500 0.000
Sr 0.500 0.000 0.000
In 0.000 0.000 0.500
Hg 0.500 0.500 0.500
Ir 0.000 0.000 0.000

---

Density functional theory data (PBE-GGA) for a relaxed structure of Tb5In2HgIr2.

Output
Fermi-level density of states, states/eV/cell: 17.25
ΔH_f (0 K), kJ per mole of atoms: -55.4
Density, g cm⁻³: 10.24

Lattice parameters (Å, degrees): 11.902 11.902 3.686 90.00 90.00 90.00
Fractional coordinates of all 20 atoms:
Tb 0.000 0.500 0.000
Tb 0.075 0.205 0.000
Tb 0.205 0.925 0.000
Tb 0.295 0.425 0.000
Tb 0.425 0.705 0.000
Tb 0.500 0.000 0.000
Tb 0.575 0.295 0.000
Tb 0.705 0.575 0.000
Tb 0.795 0.075 0.000
Tb 0.925 0.795 0.000
In 0.175 0.675 0.500
In 0.325 0.175 0.500
In 0.675 0.825 0.500
In 0.825 0.325 0.500
Hg 0.000 0.000 0.500
Hg 0.500 0.500 0.500
Ir 0.133 0.367 0.500
Ir 0.367 0.867 0.500
Ir 0.633 0.133 0.500
Ir 0.867 0.633 0.500

---

Density functional theory data (PBE-GGA) for a relaxed structure of In2TcHgIr.

Output
Fermi-level density of states, states/eV/cell: 4.69
ΔH_f (0 K), kJ per mole of atoms: 64.6
Density, g cm⁻³: 8.99

Lattice parameters (Å, degrees): 5.207 5.207 4.909 90.00 90.00 90.00
Fractional coordinates of all 5 atoms:
In 0.000 0.500 0.000
In 0.500 0.000 0.000
Tc 0.000 0.000 0.500
Hg 0.500 0.500 0.500
Ir 0.000 0.000 0.000